Entry 1:
# ZnCu2SbPd

A relaxed structure of ZnCu2SbPd (PBE, Alexandria).

Results
Its space group is P4/mmm. As for the formation energy without anion corrections: 0.408 eV/atom.

```
ZnCu2SbPd
1.0
4.468 0.000 0.000
0.000 4.712 0.000
0.000 0.000 4.468
Cu Sb Pd Zn
2 1 1 1
direct
0.500 0.000 0.000
0.000 0.000 0.500
0.500 0.500 0.500
0.000 0.500 0.000
0.000 0.000 0.000
```

Entry 2:
# AgTeSeN2

A relaxed structure of AgTeSeN2 (PBE, Alexandria).

Results
The calculation puts the energy above the lowest structure with this stoichiometry at 0.210 eV per atom. Its space group is P4/mmm. As for the formation energy without anion corrections: 1.501 eV/atom.

```
AgTeSeN2
1.0
3.848 0.000 0.000
0.000 3.848 0.000
0.000 0.000 6.809
Se N Ag Te
1 2 1 1
direct
0.000 0.000 0.000
0.500 0.000 0.000
0.000 0.500 0.000
0.500 0.500 0.500
0.000 0.000 0.500
```

Entry 3:
# Tb7Sm3Sc

A relaxed structure of Tb7Sm3Sc (PBE, Alexandria).

Results
The calculation puts the energy above the lowest structure with this stoichiometry at 0.000 eV per atom. Its space group is Cmcm. Its formation energy is 0.150 eV/atom.

```
Tb7Sm3Sc
1.0
-3.681 -2.824 8.674
8.792 1.078 -4.279
0.478 10.527 3.631
Tb Sm Sc
14 6 2
direct
0.584 0.903 0.527
0.097 0.416 0.027
0.584 0.903 0.973
0.416 0.097 0.027
0.641 0.812 0.250
0.264 0.264 0.250
0.416 0.097 0.473
0.097 0.416 0.473
0.903 0.584 0.527
0.736 0.736 0.750
0.812 0.641 0.250
0.359 0.188 0.750
0.903 0.584 0.973
0.188 0.359 0.750
0.756 0.239 0.250
0.000 0.000 0.500
0.761 0.244 0.750
0.000 0.000 0.000
0.244 0.761 0.750
0.239 0.756 0.250
0.500 0.500 0.500
0.500 0.500 0.000
```

Entry 4:
# Ho2Tl3SnTe6

A relaxed structure of Ho2Tl3SnTe6 (PBE, Alexandria).

Results
Its space group is C2/m. As for the formation energy without anion corrections: -0.777 eV/atom.

```
Ho2Tl3SnTe6
1.0
-3.034 -3.205 -0.036
6.798 -6.410 -2.149
0.830 2.138 10.277
Ho Tl Sn Te
2 3 1 6
direct
0.832 0.662 0.663
0.168 0.338 0.337
0.167 0.839 0.334
0.500 0.500 0.000
0.833 0.161 0.666
0.500 0.000 0.000
0.990 0.763 0.979
0.010 0.237 0.021
0.661 0.109 0.322
0.674 0.566 0.348
0.326 0.434 0.652
0.339 0.891 0.678
```

Entry 5:
# Er3Cu2Os

A relaxed structure of Er3Cu2Os (PBE, Alexandria).

Results
The calculation puts the energy above the lowest structure with this stoichiometry at 0.000 eV per atom. Its space group is P4/mmm. Its formation energy is -0.292 eV/atom.

```
Er3Cu2Os
1.0
-2.519 -2.235 -0.482
0.677 -0.044 -3.334
6.652 -7.812 1.453
Er Cu Os
3 2 1
direct
0.000 0.000 0.340
0.000 0.000 0.660
0.000 0.000 0.000
0.500 0.500 0.835
0.500 0.500 0.165
0.500 0.500 0.500
```

Entry 6:
# SrMg3

A relaxed structure of SrMg3 (PBE, Alexandria).

Results
Its space group is Pmm2. Its formation energy is 0.075 eV/atom.

```
SrMg3
1.0
-3.265 0.927 -1.165
-1.390 -5.235 -0.271
-2.032 0.235 5.882
Sr Mg
1 3
direct
0.500 0.000 0.163
0.000 0.500 0.379
0.500 0.500 0.800
0.000 0.000 0.658
```

Entry 7:
# SrCaSn2

A relaxed structure of SrCaSn2 (PBE, Alexandria).

Results
Its space group is I-42d. Its formation energy is -0.247 eV/atom.

```
SrCaSn2
1.0
-4.475 -5.567 -5.175
2.787 -6.789 4.893
-3.614 -5.846 1.898
Sn Ca Sr
4 2 2
direct
0.875 0.862 0.750
0.138 0.625 0.250
0.612 0.125 0.250
0.375 0.388 0.750
0.500 0.500 0.000
0.250 0.750 0.500
0.750 0.250 0.500
0.000 0.000 0.000
```

Entry 8:
# Y3ThH

A relaxed structure of Y3ThH (PBE, Alexandria).

Results
Its space group is Pm-3m. As for the total DFT energy (no corrections): -6.166 eV per atom.

```
Y3ThH
1.0
5.017 0.000 0.000
0.000 5.017 0.000
0.000 0.000 5.017
Y H Th
3 1 1
direct
0.000 0.000 0.500
0.000 0.500 0.000
0.500 0.000 0.000
0.000 0.000 0.000
0.500 0.500 0.500
```

What is the formula in the fourth record?
Ho2Tl3SnTe6

Which formula does entry 4 have?
Ho2Tl3SnTe6